{"formula": "TiAlZn2", "functional": "PBE-GGA", "state": "relaxed", "lattice_angstrom": [[7.0984, 0.0000, 0.0000], [0.0000, 7.0984, 0.0000], [3.5492, 3.5492, 2.7034]], "species": ["Zn", "Zn", "Zn", "Zn", "Al", "Al", "Ti", "Ti"], "frac_coords": [[0.6095, 0.1250, 0.2500], [0.1405, 0.6250, 0.2500], [0.3750, 0.3905, 0.7500], [0.8750, 0.8595, 0.7500], [0.5000, 0.5000, 0.0000], [0.2500, 0.7500, 0.5000], [0.0000, 0.0000, 0.0000], [0.7500, 0.2500, 0.5000]], "space_group": "No. 122", "rho_g_cm3": 5.0, "final_energy_ev_per_cell": -27.253, "e_form_ev_per_atom": 0.140}